*w*
Material: Sr2In2Pd3
Method: DFT, GGA-PBE
State: relaxed

Values from the calculation:
The density of states at the Fermi level is 0.29 states/eV per atom. Its volume is 24.20 Å³ per atom. For the magnetic moment, the calculation gives 0.000 μB per cell.

a b c (Å): 8.8578 5.2803 8.3553
angles (deg): 90.00 119.90 90.00
Last column: nearest neighbours and their distance in Å.
Space group C2/m (No. 12)
Symmetry-distinct sites (fractional):
Sr 0.0857 0.0000 0.3396 [4 per cell]  7 Pd 3.15-3.39, 3 In 3.36-3.40
In 0.1803 0.5000 0.8765 [4 per cell]  3 Pd 2.69-2.86
Pd 0.0000 0.5000 0.5000 [2 per cell]  2 In 2.73
Pd 0.1698 0.5000 0.1927 [4 per cell]  2 In 2.69-2.86

---

*x*
Material: Sr2In2Pd3
Method: DFT, GGA-PBE
State: relaxed

Values from the calculation:
The density of states at the Fermi level is 0.50 states/eV per atom. Its volume is 24.44 Å³ per atom. For the magnetic moment, the calculation gives 0.000 μB per cell.

a b c (Å): 12.3749 4.1426 7.4631
angles (deg): 90.00 116.58 90.00
Last column: nearest neighbours and their distance in Å.
Space group C2/m (No. 12)
Symmetry-distinct sites (fractional):
Sr 0.1200 0.0000 0.2767 [4 per cell]  6 Pd 3.18-3.39, 4 In 3.39-3.50
In 0.1652 0.0000 0.7687 [4 per cell]  5 Pd 2.75-2.97
Pd 0.0000 0.5000 0.5000 [2 per cell]  2 Pd 2.92, 4 In 2.97
Pd 0.0946 0.5000 0.9357 [4 per cell]  3 In 2.75-2.80, 2 Pd 2.90-2.92

---

Least stable = *w*

---

*w*
Material: Sr2In2Pd
Method: DFT, GGA-PBE
State: relaxed

Values from the calculation:
The density of states at the Fermi level is 0.60 states/eV per atom. Its volume is 30.18 Å³ per atom. For the magnetic moment, the calculation gives 0.000 μB per cell.

a b c (Å): 11.9323 4.5264 12.1824
angles (deg): 90.00 113.44 90.00
Last column: nearest neighbours and their distance in Å.
Space group C2/m (No. 12)
Symmetry-distinct sites (fractional):
Sr 0.0098 0.0000 0.1650 [4 per cell]  3 Pd 3.37-3.47, 7 In 3.45-3.65
Sr 0.1919 0.0000 0.6204 [4 per cell]  2 Pd 3.35, 6 In 3.40-3.62
In 0.0225 0.5000 0.3840 [4 per cell]  1 Pd 2.82, 1 In 3.08
In 0.1826 0.5000 0.0553 [4 per cell]  3 Pd 2.77-2.88
Pd 0.1954 0.5000 0.8244 [4 per cell]  4 In 2.77-2.88

---

*x*
Material: Sr2In2Pd
Method: DFT, GGA-PBE
State: relaxed

Values from the calculation:
The density of states at the Fermi level is 1.09 states/eV per atom. Its volume is 29.83 Å³ per atom. For the magnetic moment, the calculation gives 0.000 μB per cell.

a b c (Å): 7.5286 7.5286 5.2629
angles (deg): 90.00 90.00 90.00
Last column: nearest neighbours and their distance in Å.
Space group P4/mbm (No. 127)
Symmetry-distinct sites (fractional):
Sr 0.1737 0.3263 0.0000 [4 per cell]  6 In 3.30-3.54
In 0.1395 0.6395 0.5000 [4 per cell]  2 Pd 2.91, 1 In 2.97
Pd 0.0000 0.0000 0.5000 [2 per cell]  4 In 2.91

---

Least stable = *x*

---

*w*
Material: SrInPd4
Method: DFT, GGA-PBE
State: relaxed

Values from the calculation:
The density of states at the Fermi level is 0.85 states/eV per atom. Its volume is 19.40 Å³ per atom. For the magnetic moment, the calculation gives 0.000 μB per cell.

a b c (Å): 7.7505 7.7505 7.7505
angles (deg): 90.00 90.00 90.00
Last column: nearest neighbours and their distance in Å.
Space group F-43m (No. 216)
Symmetry-distinct sites (fractional):
Sr 0.0000 0.0000 0.0000 [4 per cell]  12 Pd 3.21, 4 In 3.36
In 0.2500 0.2500 0.2500 [4 per cell]  12 Pd 3.21, 4 Sr 3.36
Pd 0.1243 0.1243 0.6243 [16 per cell]  6 Pd 2.73-2.76

---

*x*
Material: SrInPd4
Method: DFT, GGA-PBE
State: relaxed

Values from the calculation:
The density of states at the Fermi level is 0.59 states/eV per atom. Its volume is 20.26 Å³ per atom. For the magnetic moment, the calculation gives 0.000 μB per cell.

a b c (Å): 7.8762 4.2317 7.2930
angles (deg): 90.00 90.00 90.00
Last column: nearest neighbours and their distance in Å.
Space group Pmma (No. 51)
Symmetry-distinct sites (fractional):
Sr 0.2500 0.0000 0.1685 [2 per cell]  8 Pd 3.07-3.15, 1 In 3.15
In 0.2500 0.0000 0.7363 [2 per cell]  8 Pd 2.62-2.86
Pd 0.0000 0.0000 0.5000 [2 per cell]  2 In 2.62, 4 Pd 2.90
Pd 0.0444 0.5000 0.8033 [4 per cell]  2 In 2.71, 2 Pd 2.90-2.95
Pd 0.2500 0.5000 0.4727 [2 per cell]  2 In 2.86, 8 Pd 2.90-3.07, 2 Sr 3.07

---

Least stable = *x*

---

*w*
Material: SrIn4Pd4
Method: DFT, GGA-PBE
State: relaxed

Values from the calculation:
The density of states at the Fermi level is 0.45 states/eV per atom. Its volume is 21.83 Å³ per atom. For the magnetic moment, the calculation gives 0.000 μB per cell.

a b c (Å): 6.4001 6.4001 9.5953
angles (deg): 90.00 90.00 90.00
Last column: nearest neighbours and their distance in Å.
Space group P4_2/nmc (No. 137, origin choice 2)
Symmetry-distinct sites (fractional):
Sr 0.2500 0.7500 0.2500 [2 per cell]  4 In 3.42, 8 Pd 3.60
In 0.0256 0.2500 0.0559 [8 per cell]  5 Pd 2.71-2.86, 1 In 2.87
Pd 0.0333 0.2500 0.3425 [8 per cell]  5 In 2.71-2.86, 1 Pd 2.77

---

*x*
Material: SrIn4Pd4
Method: DFT, GGA-PBE
State: relaxed

Values from the calculation:
The density of states at the Fermi level is 0.44 states/eV per atom. Its volume is 24.53 Å³ per atom. For the magnetic moment, the calculation gives 0.000 μB per cell.

a b c (Å): 9.0761 9.0761 5.3606
angles (deg): 90.00 90.00 90.00
Last column: nearest neighbours and their distance in Å.
Space group P4_2/n (No. 86, origin choice 2)
Symmetry-distinct sites (fractional):
Sr 0.2500 0.2500 0.2500 [2 per cell]  4 Pd 3.28
In 0.1061 0.6273 0.1641 [8 per cell]  5 Pd 2.70-2.77
Pd 0.0718 0.5934 0.6664 [8 per cell]  5 In 2.70-2.77, 1 Pd 2.78

---

Least stable = *x*